# 1
DFT (PBE) results for a geometry-optimized Pu5Ni2H12 structure.

CIF file:
```
data_Pu5Ni2H12
_cell_length_a 6.0900
_cell_length_b 6.3286
_cell_length_c 6.6582
_cell_angle_alpha 106.05
_cell_angle_beta 90.00
_cell_angle_gamma 118.76
_symmetry_space_group_name_H-M 'P 1'
_symmetry_Int_Tables_number 1
loop_
_symmetry_equiv_pos_as_xyz
'x,y,z'
loop_
_atom_site_label
_atom_site_type_symbol
_atom_site_fract_x
_atom_site_fract_y
_atom_site_fract_z
H1 H 0.5953 0.6265 0.3848
H2 H 0.0570 0.1140 0.1849
H3 H 0.4453 0.2769 0.0542
H4 H 0.1684 0.7231 0.9458
H5 H 0.5547 0.7231 0.9458
H6 H 0.9688 0.3735 0.6152
H7 H 0.9430 0.8860 0.8151
H8 H 0.5595 0.1190 0.6289
H9 H 0.4405 0.8810 0.3711
H10 H 0.4047 0.3735 0.6152
H11 H 0.8316 0.2769 0.0542
H12 H 0.0312 0.6265 0.3848
Pu1 Pu 0.0000 0.0000 0.5000
Pu2 Pu 0.6361 0.2721 0.3540
Pu3 Pu 0.3639 0.7279 0.6460
Pu4 Pu 0.7384 0.4768 0.8656
Pu5 Pu 0.2616 0.5232 0.1344
Ni1 Ni 0.2000 0.0000 0.0000
Ni2 Ni 0.8000 0.0000 0.0000
```

---

# 2
# SiIN2F | Alexandria | PBE | relaxed
data_SiIN2F
_cell_length_a 4.6592
_cell_length_b 4.6592
_cell_length_c 4.3624
_cell_angle_alpha 90.00
_cell_angle_beta 90.00
_cell_angle_gamma 90.00
_symmetry_space_group_name_H-M 'P 1'
_symmetry_Int_Tables_number 1
loop_
_symmetry_equiv_pos_as_xyz
'x,y,z'
loop_
_atom_site_label
_atom_site_type_symbol
_atom_site_fract_x
_atom_site_fract_y
_atom_site_fract_z
N1 N 0.0000 0.5000 0.0000
N2 N 0.5000 0.0000 0.0000
F1 F 0.0000 0.0000 0.0000
I1 I 0.0000 0.0000 0.5000
Si1 Si 0.5000 0.5000 0.5000
# Formation energy from raw total energies ... 10.9 eV per formula unit
# ΔE to the lowest computed polymorph ... 1.899 eV per atom

---

# 3
# HoTm3Cd4 | Alexandria | PBE | relaxed
data_HoTm3Cd4
_cell_length_a 5.2135
_cell_length_b 7.4745
_cell_length_c 10.4273
_cell_angle_alpha 90.00
_cell_angle_beta 90.00
_cell_angle_gamma 90.00
_symmetry_space_group_name_H-M 'P 1'
_symmetry_Int_Tables_number 1
loop_
_symmetry_equiv_pos_as_xyz
'x,y,z'
loop_
_atom_site_label
_atom_site_type_symbol
_atom_site_fract_x
_atom_site_fract_y
_atom_site_fract_z
Cd1 Cd 0.5000 0.2481 0.5000
Cd2 Cd 0.0004 0.2482 0.2500
Cd3 Cd 0.5000 0.2481 0.0000
Cd4 Cd 0.9996 0.7518 0.7500
Cd5 Cd 0.0004 0.7518 0.2500
Cd6 Cd 0.5000 0.7519 0.5000
Cd7 Cd 0.9996 0.2482 0.7500
Cd8 Cd 0.5000 0.7519 0.0000
Tm1 Tm 0.5004 0.0000 0.2500
Tm2 Tm 0.0000 0.0000 0.0000
Tm3 Tm 0.5005 0.5000 0.2500
Tm4 Tm 0.4995 0.5000 0.7500
Tm5 Tm 0.0000 0.0000 0.5000
Tm6 Tm 0.4996 0.0000 0.7500
Ho1 Ho 0.0000 0.5000 0.5000
Ho2 Ho 0.0000 0.5000 0.0000
# Energy of formation ... -0.3140 eV/atom

---

| no. | DFT total energy (eV/atom) |
| --- | --- |
| 1 | -6.737 |
| 2 | -2.923 |
| 3 | -3.021 |